PuAgTe3Pb: optimized geometry, PBE.

Summary:
Its magnetic moment is 10.000 μB/cell. As for the symmetry: P2_1/m. The uncorrected formation energy comes out at -0.5484 eV per atom. Its density is 8.19 g/cm³. The total energy comes out at -5.6012 eV/atom.

a = 4.4211 Å, b = 9.0391 Å, c = 9.8803 Å
α = 104.70°, β = 90.00°, γ = 90.00°
Closest atoms and distances in Å follow each position.
Fractional coordinates of all 12 atoms:
Te: 0.2500 0.5691 0.8405  3 Pu 3.11-3.14, 2 Pb 3.34
Te: 0.7500 0.2551 0.5073  3 Ag 2.89-2.97, 1 Pu 3.11
Te: 0.7500 0.9039 0.1280  1 Ag 2.85, 2 Pu 3.12
Te: 0.2500 0.0961 0.8720  1 Ag 2.85, 2 Pu 3.12
Te: 0.7500 0.4309 0.1595  3 Pu 3.11-3.14, 2 Pb 3.34
Te: 0.2500 0.7449 0.4927  3 Ag 2.89-2.97, 1 Pu 3.11
Pb: 0.7500 0.8101 0.7587  7 Te 3.34-3.53, 1 Ag 3.71
Pb: 0.2500 0.1899 0.2413  7 Te 3.34-3.53, 1 Ag 3.71
Pu: 0.7500 0.3249 0.8317  6 Te 3.11-3.14
Pu: 0.2500 0.6751 0.1683  6 Te 3.11-3.14
Ag: 0.7500 0.9157 0.4191  4 Te 2.85-2.97, 2 Ag 2.92
Ag: 0.2500 0.0843 0.5809  4 Te 2.85-2.97, 2 Ag 2.92

PuThAgPb: optimized geometry, PBE.

Summary:
Its magnetic moment is 7.039 μB/cell. As for the symmetry: F-43m. The formation enthalpy at 0 K comes out at -0.062 eV/atom. Its density is 11.78 g/cm³. The total energy comes out at -7.1401 eV/atom.

a = 5.4021 Å, b = 5.4021 Å, c = 5.4021 Å
α = 60.00°, β = 60.00°, γ = 60.00°
Closest atoms and distances in Å follow each position.
Fractional coordinates of all 4 atoms:
Pb: 0.0000 0.0000 0.0000  4 Th 3.31, 4 Pu 3.31
Pu: 0.7500 0.7500 0.7500  4 Ag 3.31, 4 Pb 3.31
Ag: 0.5000 0.5000 0.5000  4 Th 3.31, 4 Pu 3.31
Th: 0.2500 0.2500 0.2500  4 Pb 3.31, 4 Ag 3.31

PuTiAgPb: optimized geometry, PBE.

Summary:
Its magnetic moment is 7.270 μB/cell. As for the symmetry: F-43m. The formation enthalpy at 0 K comes out at 0.094 eV/atom. Its density is 10.81 g/cm³. The total energy comes out at -7.1023 eV/atom.

a = 5.0902 Å, b = 5.0902 Å, c = 5.0902 Å
α = 60.00°, β = 60.00°, γ = 60.00°
Closest atoms and distances in Å follow each position.
Fractional coordinates of all 4 atoms:
Pb: 0.5000 0.5000 0.5000  4 Ti 3.12, 4 Pu 3.12
Pu: 0.7500 0.7500 0.7500  4 Pb 3.12, 4 Ag 3.12
Ag: 0.0000 0.0000 0.0000  4 Pu 3.12, 4 Ti 3.12
Ti: 0.2500 0.2500 0.2500  4 Pb 3.12, 4 Ag 3.12

PuTlAgPb: optimized geometry, PBE.

Summary:
Its magnetic moment is 5.869 μB/cell. As for the symmetry: F-43m. The formation enthalpy at 0 K comes out at 0.007 eV/atom. Its density is 12.30 g/cm³. The total energy comes out at -5.8072 eV/atom.

a = 5.2632 Å, b = 5.2632 Å, c = 5.2632 Å
α = 60.00°, β = 60.00°, γ = 60.00°
Closest atoms and distances in Å follow each position.
Fractional coordinates of all 4 atoms:
Tl: 0.5000 0.5000 0.5000  4 Ag 3.22, 4 Pu 3.22
Ag: 0.2500 0.2500 0.2500  4 Pb 3.22, 4 Tl 3.22
Pb: 0.0000 0.0000 0.0000  4 Pu 3.22, 4 Ag 3.22
Pu: 0.7500 0.7500 0.7500  4 Pb 3.22, 4 Tl 3.22

TmPuAgPb: optimized geometry, PBE.

Summary:
Its magnetic moment is 6.203 μB/cell. As for the symmetry: F-43m. The formation enthalpy at 0 K comes out at -0.184 eV/atom. Its density is 11.54 g/cm³. The total energy comes out at -6.5248 eV/atom.

a = 5.2907 Å, b = 5.2907 Å, c = 5.2907 Å
α = 60.00°, β = 60.00°, γ = 60.00°
Closest atoms and distances in Å follow each position.
Fractional coordinates of all 4 atoms:
Ag: 0.5000 0.5000 0.5000  4 Pu 3.24, 4 Tm 3.24
Pb: 0.0000 0.0000 0.0000  4 Tm 3.24, 4 Pu 3.24
Tm: 0.2500 0.2500 0.2500  4 Ag 3.24, 4 Pb 3.24
Pu: 0.7500 0.7500 0.7500  4 Ag 3.24, 4 Pb 3.24

YPuAgPb: optimized geometry, PBE.

Summary:
Its magnetic moment is 6.232 μB/cell. As for the symmetry: F-43m. The formation enthalpy at 0 K comes out at -0.212 eV/atom. Its density is 10.07 g/cm³. The total energy comes out at -7.0512 eV/atom.

a = 5.3262 Å, b = 5.3262 Å, c = 5.3262 Å
α = 60.00°, β = 60.00°, γ = 60.00°
Closest atoms and distances in Å follow each position.
Fractional coordinates of all 4 atoms:
Y: 0.5000 0.5000 0.5000  4 Pb 3.26, 4 Ag 3.26
Ag: 0.2500 0.2500 0.2500  4 Y 3.26, 4 Pu 3.26
Pb: 0.7500 0.7500 0.7500  4 Y 3.26, 4 Pu 3.26
Pu: 0.0000 0.0000 0.0000  4 Ag 3.26, 4 Pb 3.26

Rb3AgPb: optimized geometry, PBE.

Summary:
Its magnetic moment is 0.004 μB/cell. As for the symmetry: C2/m. The formation enthalpy at 0 K comes out at 0.040 eV/atom. Its density is 3.76 g/cm³. For the offset from the most stable computed form, the calculation gives 0 meV per atom. The total energy comes out at -1.8520 eV/atom.

a = 8.6600 Å, b = 8.6600 Å, c = 8.8699 Å
α = 108.79°, β = 119.14°, γ = 99.87°
Closest atoms and distances in Å follow each position.
Fractional coordinates of all 10 atoms:
Rb: 0.8338 0.0141 0.2427  2 Ag 3.55-3.86
Rb: 0.2725 0.5571 0.8296  2 Ag 3.64-3.91, 1 Pb 3.91
Rb: 0.2286 0.4089 0.2427  2 Ag 3.55-3.86
Rb: 0.1662 0.9859 0.7573  2 Ag 3.55-3.86
Rb: 0.7275 0.4429 0.1704  2 Ag 3.64-3.91, 1 Pb 3.91
Rb: 0.7714 0.5911 0.7573  2 Ag 3.55-3.86
Ag: 0.6121 0.7895 0.4017  2 Pb 2.88-2.94
Ag: 0.3879 0.2105 0.5983  2 Pb 2.88-2.94
Pb: 0.6792 0.0635 0.7427  2 Ag 2.88-2.94
Pb: 0.3208 0.9365 0.2573  2 Ag 2.88-2.94

RbAg2Pb3: optimized geometry, PBE.

Summary:
Its magnetic moment is 0.000 μB/cell. As for the symmetry: Cmcm. The formation enthalpy at 0 K comes out at -0.022 eV/atom. Its density is 7.97 g/cm³. The total energy comes out at -2.9879 eV/atom.

a = 5.8437 Å, b = 8.3678 Å, c = 8.3678 Å
α = 109.90°, β = 90.00°, γ = 90.00°
Closest atoms and distances in Å follow each position.
Fractional coordinates of all 12 atoms:
Pb: 0.7500 0.0920 0.4699  4 Ag 2.98-3.07, 1 Pb 3.26
Pb: 0.2500 0.5301 0.9080  4 Ag 2.98-3.07, 1 Pb 3.26
Pb: 0.2500 0.9245 0.9245  4 Ag 3.19, 4 Pb 3.26
Pb: 0.7500 0.4699 0.0920  4 Ag 2.98-3.07, 1 Pb 3.26
Pb: 0.7500 0.0755 0.0755  4 Ag 3.19, 4 Pb 3.26
Pb: 0.2500 0.9080 0.5301  4 Ag 2.98-3.07, 1 Pb 3.26
Ag: 0.0000 0.8000 0.2000  2 Ag 2.92, 6 Pb 2.98-3.19
Ag: 0.5000 0.8000 0.2000  2 Ag 2.92, 6 Pb 2.98-3.19
Ag: 0.5000 0.2000 0.8000  2 Ag 2.92, 6 Pb 2.98-3.19
Ag: 0.0000 0.2000 0.8000  2 Ag 2.92, 6 Pb 2.98-3.19
Rb: 0.2500 0.3414 0.3414  7 Pb 3.88-4.01, 2 Rb 4.22
Rb: 0.7500 0.6586 0.6586  7 Pb 3.88-4.01, 2 Rb 4.22

RbAg3Pb: optimized geometry, PBE.

Summary:
Its magnetic moment is 0.000 μB/cell. As for the symmetry: Pm-3m. The formation enthalpy at 0 K comes out at 0.180 eV/atom. Its density is 6.12 g/cm³. For the offset from the most stable computed form, the calculation gives 0 meV per atom. The total energy comes out at -2.4659 eV/atom.

a = 5.5089 Å, b = 5.5089 Å, c = 5.5089 Å
α = 90.00°, β = 90.00°, γ = 90.00°
Closest atoms and distances in Å follow each position.
Fractional coordinates of all 5 atoms:
Ag: 0.5000 0.0000 0.0000  2 Pb 2.75
Ag: 0.0000 0.5000 0.0000  2 Pb 2.75
Ag: 0.0000 0.0000 0.5000  2 Pb 2.75
Rb: 0.5000 0.5000 0.5000  12 Ag 3.90
Pb: 0.0000 0.0000 0.0000  6 Ag 2.75

RbAgPb3: optimized geometry, PBE.

Summary:
Its magnetic moment is 0.000 μB/cell. As for the symmetry: Fmm2. The formation enthalpy at 0 K comes out at -0.089 eV/atom. Its density is 8.02 g/cm³. For the offset from the most stable computed form, the calculation gives 0 meV per atom. The total energy comes out at -3.0773 eV/atom.

a = 5.1036 Å, b = 5.1017 Å, c = 7.4122 Å
α = 69.93°, β = 69.92°, γ = 90.02°
Closest atoms and distances in Å follow each position.
Fractional coordinates of all 5 atoms:
Pb: 0.7960 0.5993 0.1129  1 Ag 2.91, 4 Pb 3.23
Pb: 0.6439 0.9473 0.4176  2 Ag 3.01, 2 Pb 3.23
Pb: 0.1439 0.4476 0.4175  2 Ag 3.01, 2 Pb 3.23
Ag: 0.0209 0.8245 0.6640  5 Pb 2.91-3.01
Rb: 0.4030 0.2064 0.8992  12 Pb 3.86-4.22, 4 Ag 3.91-3.92

RbAgPb4: optimized geometry, PBE.

Summary:
Its magnetic moment is 0.000 μB/cell. As for the symmetry: Pmma. The formation enthalpy at 0 K comes out at -0.041 eV/atom. Its density is 8.37 g/cm³. The total energy comes out at -3.1499 eV/atom.

a = 4.7245 Å, b = 8.8844 Å, c = 9.6639 Å
α = 90.00°, β = 90.00°, γ = 90.00°
Closest atoms and distances in Å follow each position.
Fractional coordinates of all 12 atoms:
Pb: 0.5000 0.0383 0.2500  2 Ag 3.28, 6 Pb 3.40-3.41
Pb: 0.0000 0.0000 0.5000  2 Ag 3.09, 4 Pb 3.40
Pb: 0.0000 0.0000 0.0000  2 Ag 3.09, 4 Pb 3.40
Pb: 0.5000 0.7071 0.0727  2 Ag 2.99
Pb: 0.5000 0.7071 0.4273  2 Ag 2.99
Pb: 0.5000 0.2929 0.5727  2 Ag 2.99
Pb: 0.5000 0.9617 0.7500  2 Ag 3.28, 6 Pb 3.40-3.41
Pb: 0.5000 0.2929 0.9273  2 Ag 2.99
Ag: 0.0000 0.2172 0.7500  8 Pb 2.99-3.28
Ag: 0.0000 0.7828 0.2500  8 Pb 2.99-3.28
Rb: 0.0000 0.3816 0.2500  1 Ag 3.56, 6 Pb 3.86-3.99
Rb: 0.0000 0.6184 0.7500  1 Ag 3.56, 6 Pb 3.86-3.99

Rb3AgPb: optimized geometry, PBE.

Summary:
Its magnetic moment is 2.000 μB/cell. As for the symmetry: Pm-3m. The formation enthalpy at 0 K comes out at 0.214 eV/atom. Its density is 3.23 g/cm³. For the offset from the most stable computed form, the calculation gives 173 meV per atom. The total energy comes out at -1.6785 eV/atom.

a = 6.6454 Å, b = 6.6454 Å, c = 6.6454 Å
α = 90.00°, β = 90.00°, γ = 90.00°
Closest atoms and distances in Å follow each position.
Fractional coordinates of all 5 atoms:
Rb: 0.0000 0.0000 0.5000  2 Ag 3.32
Rb: 0.5000 0.0000 0.0000  2 Ag 3.32
Rb: 0.0000 0.5000 0.0000  2 Ag 3.32
Ag: 0.0000 0.0000 0.0000  6 Rb 3.32
Pb: 0.5000 0.5000 0.5000  12 Rb 4.70